DFT (PBEsol) results for a geometry-optimized Pr2Al9Ir3 structure.

a b c (Å): 13.169 7.700 9.640
angles (deg): 90.00 90.00 90.00
Space group Cmcm (No. 63)
Symmetry-distinct sites (fractional):
Pr 0.163 0.168 0.250 (multiplicity 8)
Al 0.000 0.130 0.750 (multiplicity 4)
Al 0.000 0.335 0.049 (multiplicity 8)
Al 0.103 0.441 0.750 (multiplicity 8)
Al 0.166 0.169 0.572 (multiplicity 16)
Ir 0.000 0.000 0.000 (multiplicity 4)
Ir 0.171 0.500 0.000 (multiplicity 8)

- DOS at the Fermi energy (states/eV/f.u.) = 5.41
- crystal system = orthorhombic
- M_tot (Bohr magnetons per cell) = 0.0
- calculated formation energy (eV/atom) = -0.84